(1)
A plane-wave DFT calculation with PBE-GGA was carried out for crystalline La2Si4PdPt at its relaxed geometry.

Cell lengths 4.269, 4.354, 16.981 Å; angles 90.00, 90.00, 90.00 degrees
Space group Amm2 (No. 38)
Symmetry-distinct sites (fractional):
La  0.000  0.000  0.000 (multiplicity 2)
La  0.500  0.000  0.211 (multiplicity 2)
Si  0.000  0.000  0.355 (multiplicity 2)
Si  0.000  0.000  0.642 (multiplicity 2)
Si  0.500  0.000  0.571 (multiplicity 2)
Si  0.500  0.000  0.857 (multiplicity 2)
Pd  0.500  0.000  0.426 (multiplicity 2)
Pt  0.000  0.000  0.786 (multiplicity 2)

Summary:
Final energy ... -6.2986 eV per atom


(2)
A plane-wave DFT calculation with PBE-GGA was carried out for crystalline TbHf2Tc3 at its relaxed geometry.

Cell lengths 3.2183, 3.2183, 12.4358 Å; angles 90.00, 90.00, 120.00 degrees
Space group P-3m1 (No. 164)
Symmetry-distinct sites (fractional):
Tb  0.0000  0.0000  0.0000 (multiplicity 1)
Hf  0.3333  0.6667  0.3362 (multiplicity 2)
Tc  0.0000  0.0000  0.5000 (multiplicity 1)
Tc  0.3333  0.6667  0.8223 (multiplicity 2)

Summary:
ΔH_f (0 K) ... 85 meV/atom
Final energy ... -9.1857 eV per atom


(3)
A plane-wave DFT calculation with PBE-GGA was carried out for crystalline BeCdInAu at its relaxed geometry.

Cell lengths 6.688, 6.688, 6.688 Å; angles 90.00, 90.00, 90.00 degrees
Space group F-43m (No. 216)
Symmetry-distinct sites (fractional):
Be  0.000  0.000  0.000 (multiplicity 4)
Cd  0.250  0.250  0.750 (multiplicity 4)
In  0.250  0.250  0.250 (multiplicity 4)
Au  0.000  0.000  0.500 (multiplicity 4)

Summary:
Final energy ... -2.3512 eV per atom


(4)
A plane-wave DFT calculation with PBE-GGA was carried out for crystalline LiZn2Cd at its relaxed geometry.

Cell lengths 6.282, 6.282, 6.282 Å; angles 90.00, 90.00, 90.00 degrees
Space group F-43m (No. 216)
Symmetry-distinct sites (fractional):
Li  0.000  0.000  0.000 (multiplicity 4)
Zn  0.000  0.000  0.500 (multiplicity 4)
Zn  0.250  0.250  0.750 (multiplicity 4)
Cd  0.250  0.250  0.250 (multiplicity 4)

Summary:
Final energy ... -1.4645 eV per atom